Density functional theory data (PBE+U) for a geometry-optimized CoReOsSeO structure. Values from VASP.

Output
Symmetry   No. 38
Energy above the lowest structure with this stoichiometry   10 meV/atom

Geometry as Quantum ESPRESSO input:
```
&SYSTEM
  ibrav = 0, nat = 5, ntyp = 5
/
ATOMIC_SPECIES
Co 58.93 Co.upf
Se 78.96 Se.upf
Re 186.21 Re.upf
Os 190.23 Os.upf
O 16.00 O.upf
CELL_PARAMETERS angstrom
-2.3736 2.5317 1.1132
-1.8853 -2.0312 0.5996
3.8524 -1.7414 6.2137
ATOMIC_POSITIONS angstrom
Co -1.4557 0.3124 3.1853
Se -0.5074 0.1434 5.5946
Re 0.0548 0.1726 0.7572
Os 1.3296 -1.2386 6.6892
O 0.7328 0.0519 2.4800
```